A relaxed structure of P2RuRhO, computed with GGA-PBEsol.

Lattice parameters (Å, degrees): 4.6392 4.6392 3.4951 90.00 90.00 90.00
Last column: nearest neighbours and their distance in Å.
Space group P4/mmm (No. 123)
Inequivalent atoms, fractional coordinates:
P1 0.0000 0.5000 0.0000 (multiplicity 2)  2 Rh 2.32
Ru1 0.0000 0.0000 0.5000 (multiplicity 1)  8 P 2.90
Rh1 0.5000 0.5000 0.0000 (multiplicity 1)  2 O 1.75
O1 0.5000 0.5000 0.5000 (multiplicity 1)  2 Rh 1.75

Summary:
M_tot in μB/f.u.: 0.00


A relaxed structure of PRhSO2, computed with GGA-PBEsol.

Lattice parameters (Å, degrees): 3.6212 3.6212 5.3610 90.00 90.00 90.00
Last column: nearest neighbours and their distance in Å.
Space group P4/mmm (No. 123)
Inequivalent atoms, fractional coordinates:
P1 0.0000 0.0000 0.0000 (multiplicity 1)  4 S 2.56, 2 Rh 2.68
Rh1 0.0000 0.0000 0.5000 (multiplicity 1)  4 O 1.81
S1 0.5000 0.5000 0.0000 (multiplicity 1)  4 P 2.56
O1 0.0000 0.5000 0.5000 (multiplicity 2)  2 Rh 1.81

Summary:
M_tot in μB/f.u.: 0.00


A relaxed structure of Si2P3RhO13, computed with GGA-PBEsol.

Lattice parameters (Å, degrees): 8.1379 8.1379 8.8005 90.00 90.00 120.00
Last column: nearest neighbours and their distance in Å.
Space group P321 (No. 150)
Inequivalent atoms, fractional coordinates:
Si1 0.3333 0.6667 0.0033 (multiplicity 2)  4 O 1.60-1.63
Si2 0.3333 0.6667 0.3680 (multiplicity 2)  4 O 1.61
P1 0.0000 0.2779 0.0000 (multiplicity 3)  4 O 1.51-1.58
P2 0.0000 0.7166 0.5000 (multiplicity 3)  4 O 1.51-1.57
Rh1 0.0000 0.0000 0.2541 (multiplicity 2)  6 O 2.01
O1 0.0985 0.2360 0.1275 (multiplicity 6)  1 P 1.51
O2 0.1029 0.8622 0.6235 (multiplicity 6)  1 P 1.51
O3 0.1479 0.6687 0.4296 (multiplicity 6)  1 P 1.57, 1 Si 1.61
O4 0.1544 0.4757 0.9322 (multiplicity 6)  1 P 1.58, 1 Si 1.63
O5 0.3333 0.6667 0.1853 (multiplicity 2)  2 Si 1.60-1.61

Summary:
M_tot in μB/f.u.: 0.00


Number 1: E -6.4349 eV/atom, raw formation energy 594 meV/atom. Number 2: E -5.8414 eV/atom, raw formation energy -79 meV/atom. Number 3: E -7.6980 eV/atom, raw formation energy -2159 meV/atom.